Computed, not measured: crystalline Li3PaI2Cl6 at its relaxed geometry at the PBE level of DFT. Values from VASP.

Quantum ESPRESSO input file:
```
&SYSTEM
  ibrav = 0, nat = 12, ntyp = 4
/
ATOMIC_SPECIES
Li 6.94 Li.upf
I 126.90 I.upf
Cl 35.45 Cl.upf
Pa 231.04 Pa.upf
CELL_PARAMETERS angstrom
6.358 0.000 0.129
0.000 7.992 0.000
-0.776 -3.996 7.136
ATOMIC_POSITIONS crystal
Li 0.000 0.500 0.000
I 0.239 0.669 0.337
Li 0.500 0.000 0.500
Cl 0.260 0.696 0.846
Cl 0.706 0.852 0.704
I 0.761 0.331 0.663
Cl 0.740 0.304 0.154
Li 0.500 0.500 0.500
Cl 0.294 0.148 0.296
Cl 0.260 0.150 0.846
Cl 0.740 0.850 0.154
Pa 0.500 0.000 0.000
```

**Size of the total moment**: 0.05 μB per formula unit
**Crystal system**: monoclinic
**Formation energy from raw total energies**: -1583 meV/atom


Computed, not measured: crystalline MnReW2 at its relaxed geometry at the PBE level of DFT. Values from VASP.

Quantum ESPRESSO input file:
```
&SYSTEM
  ibrav = 0, nat = 4, ntyp = 3
/
ATOMIC_SPECIES
W 183.84 W.upf
Re 186.21 Re.upf
Mn 54.94 Mn.upf
CELL_PARAMETERS angstrom
3.141 0.000 0.000
0.000 3.141 0.000
0.000 0.000 6.060
ATOMIC_POSITIONS crystal
W 0.000 0.000 0.996
W 0.500 0.500 0.264
Re 0.500 0.500 0.745
Mn 0.000 0.000 0.496
```

**Size of the total moment**: 2.17 μB per formula unit
**Energy of formation from the pure elements**: 0.089 eV per atom
**Crystal system**: tetragonal
**E above lowest polymorph**: 0.006 eV/atom


Computed, not measured: crystalline Ba2CdSn2 at its relaxed geometry at the PBE level of DFT. Values from VASP.

Quantum ESPRESSO input file:
```
&SYSTEM
  ibrav = 0, nat = 5, ntyp = 3
/
ATOMIC_SPECIES
Sn 118.71 Sn.upf
Ba 137.33 Ba.upf
Cd 112.41 Cd.upf
CELL_PARAMETERS angstrom
4.312 0.000 0.000
0.000 4.312 0.000
2.156 2.156 10.417
ATOMIC_POSITIONS crystal
Sn 0.250 0.750 0.500
Sn 0.750 0.250 0.500
Ba 0.605 0.605 0.791
Ba 0.395 0.395 0.209
Cd 0.000 0.000 0.000
```

**Size of the total moment**: 0.00 μB per formula unit
**Energy of formation from the pure elements**: -0.277 eV per atom
**Crystal system**: tetragonal
**E above lowest polymorph**: 0.327 eV/atom


Computed, not measured: crystalline AlGe2PH24C8 at its relaxed geometry at the PBE level of DFT. Values from VASP.

Quantum ESPRESSO input file:
```
&SYSTEM
  ibrav = 0, nat = 72, ntyp = 5
/
ATOMIC_SPECIES
C 12.01 C.upf
H 1.01 H.upf
Ge 72.64 Ge.upf
Al 26.98 Al.upf
P 30.97 P.upf
CELL_PARAMETERS angstrom
-4.643 5.895 5.849
-1.760 -3.387 9.299
7.850 3.691 5.391
ATOMIC_POSITIONS crystal
C 0.726 0.007 0.723
H 0.728 0.786 0.170
H 0.197 0.689 0.427
H 0.272 0.214 0.830
H 0.923 0.065 0.304
H 0.445 0.899 0.881
H 0.005 0.208 0.522
Ge 0.724 0.806 0.773
Ge 0.839 0.343 0.317
H 0.273 0.853 0.619
C 0.274 0.993 0.277
C 0.363 0.477 0.704
H 0.441 0.165 0.411
H 0.555 0.101 0.119
Al 0.980 0.369 0.924
C 0.189 0.834 0.701
H 0.190 0.990 0.364
H 0.356 0.381 0.677
H 0.727 0.147 0.381
H 0.549 0.702 0.944
H 0.220 0.747 0.043
C 0.637 0.523 0.296
H 0.238 0.244 0.471
C 0.322 0.247 0.383
Ge 0.161 0.657 0.683
H 0.832 0.901 0.114
H 0.644 0.619 0.323
H 0.602 0.554 0.192
H 0.236 0.815 0.798
H 0.868 0.776 0.271
C 0.557 0.811 0.918
H 0.764 0.185 0.202
H 0.132 0.224 0.729
H 0.607 0.090 0.695
H 0.676 0.440 0.991
H 0.074 0.592 0.490
H 0.680 0.640 0.643
H 0.245 0.963 0.192
H 0.454 0.503 0.636
H 0.780 0.253 0.957
H 0.926 0.408 0.510
C 0.811 0.166 0.299
H 0.803 0.311 0.573
H 0.546 0.497 0.364
C 0.229 0.631 0.075
H 0.269 0.592 0.178
C 0.901 0.314 0.499
H 0.559 0.835 0.589
H 0.810 0.010 0.636
H 0.755 0.037 0.808
H 0.995 0.792 0.478
C 0.099 0.686 0.501
C 0.157 0.212 0.834
H 0.731 0.408 0.822
C 0.771 0.369 0.925
H 0.320 0.360 0.357
H 0.393 0.910 0.305
C 0.843 0.788 0.166
C 0.678 0.753 0.617
H 0.578 0.838 0.008
H 0.077 0.935 0.696
P 0.969 0.625 0.849
Ge 0.276 0.194 0.227
H 0.762 0.756 0.529
P 0.031 0.375 0.151
Al 0.020 0.631 0.076
C 0.443 0.189 0.082
H 0.451 0.298 0.056
H 0.422 0.162 0.992
H 0.324 0.560 0.009
H 0.398 0.446 0.808
H 0.168 0.099 0.886
```

**Size of the total moment**: 0.00 μB per formula unit
**Crystal system**: triclinic
**VASP energy**: -0.366 Ry/atom


Computed, not measured: crystalline UTlP2 at its relaxed geometry at the PBE level of DFT. Values from VASP.

Quantum ESPRESSO input file:
```
&SYSTEM
  ibrav = 0, nat = 4, ntyp = 3
/
ATOMIC_SPECIES
U 238.03 U.upf
P 30.97 P.upf
Tl 204.38 Tl.upf
CELL_PARAMETERS angstrom
-3.293 -2.260 -0.712
0.352 -3.537 -1.955
0.004 -5.397 5.554
ATOMIC_POSITIONS crystal
U 0.000 0.000 0.000
P 0.728 0.728 0.816
P 0.272 0.272 0.184
Tl 0.500 0.500 0.500
```

**Size of the total moment**: 1.00 μB per formula unit
**Energy of formation from the pure elements**: -0.343 eV per atom
**Crystal system**: trigonal


Computed, not measured: crystalline In4AgCl at its relaxed geometry at the PBE level of DFT. Values from VASP.

Quantum ESPRESSO input file:
```
&SYSTEM
  ibrav = 0, nat = 6, ntyp = 3
/
ATOMIC_SPECIES
Ag 107.87 Ag.upf
In 114.82 In.upf
Cl 35.45 Cl.upf
CELL_PARAMETERS angstrom
5.132 -2.831 1.900
-0.386 -5.071 3.480
1.549 -5.479 -2.356
ATOMIC_POSITIONS crystal
Ag 0.750 0.750 0.750
In 0.375 0.874 0.375
In 0.874 0.375 0.375
In 0.375 0.375 0.874
In 0.375 0.375 0.375
Cl 0.000 0.000 0.000
```

**Size of the total moment**: 0.00 μB per formula unit
**Crystal system**: cubic
**Formation energy from raw total energies**: 70 meV/atom


Computed, not measured: crystalline MnRhBr2 at its relaxed geometry at the PBE level of DFT. Values from VASP.

Quantum ESPRESSO input file:
```
&SYSTEM
  ibrav = 0, nat = 4, ntyp = 3
/
ATOMIC_SPECIES
Br 79.90 Br.upf
Rh 102.91 Rh.upf
Mn 54.94 Mn.upf
CELL_PARAMETERS angstrom
2.205 -4.152 0.698
-2.520 -3.869 1.126
-0.496 -3.515 -3.160
ATOMIC_POSITIONS crystal
Br 0.750 0.750 0.750
Rh 0.500 0.500 0.500
Mn 0.000 0.000 0.000
Br 0.250 0.250 0.250
```

**Size of the total moment**: 4.00 μB per formula unit
**Crystal system**: cubic
**Formation energy from raw total energies**: 369 meV/atom
**E above lowest polymorph**: 0.511 eV/atom


Computed, not measured: crystalline Ba6SrCa2 at its relaxed geometry at the PBE level of DFT. Values from VASP.

Quantum ESPRESSO input file:
```
&SYSTEM
  ibrav = 0, nat = 9, ntyp = 3
/
ATOMIC_SPECIES
Ba 137.33 Ba.upf
Sr 87.62 Sr.upf
Ca 40.08 Ca.upf
CELL_PARAMETERS angstrom
1.387 0.998 6.536
-3.235 -5.711 5.050
9.100 -5.086 2.337
ATOMIC_POSITIONS crystal
Ba 0.988 0.186 0.838
Ba 0.674 0.814 0.837
Ba 0.012 0.814 0.162
Sr 0.000 0.500 0.500
Ca 0.665 0.500 0.171
Ca 0.335 0.500 0.829
Ba 0.339 0.821 0.500
Ba 0.661 0.179 0.500
Ba 0.326 0.186 0.163
```

**Size of the total moment**: 0.00 μB per formula unit
**Energy of formation from the pure elements**: 0.024 eV per atom
**Crystal system**: orthorhombic
**E above lowest polymorph**: 0.000 eV/atom


Computed, not measured: crystalline PSeCl at its relaxed geometry at the PBE level of DFT. Values from VASP.

Quantum ESPRESSO input file:
```
&SYSTEM
  ibrav = 0, nat = 3, ntyp = 3
/
ATOMIC_SPECIES
P 30.97 P.upf
Se 78.96 Se.upf
Cl 35.45 Cl.upf
CELL_PARAMETERS angstrom
7.018 0.064 -0.003
5.131 4.788 0.003
-6.074 -2.428 2.543
ATOMIC_POSITIONS crystal
P 0.206 0.206 0.000
Se 0.744 0.744 0.000
Cl 0.050 0.050 0.000
```

**Size of the total moment**: 0.00 μB per formula unit
**Crystal system**: tetragonal
**Formation energy from raw total energies**: -200 meV/atom


Computed, not measured: crystalline Y2Ho2S3 at its relaxed geometry at the PBE level of DFT. Values from VASP.

Quantum ESPRESSO input file:
```
&SYSTEM
  ibrav = 0, nat = 7, ntyp = 3
/
ATOMIC_SPECIES
S 32.06 S.upf
Y 88.91 Y.upf
Ho 164.93 Ho.upf
CELL_PARAMETERS angstrom
3.726 0.000 -1.001
-0.231 6.612 -0.858
-0.203 -0.336 6.683
ATOMIC_POSITIONS crystal
S 0.747 0.251 0.494
Y 0.374 0.128 0.748
Ho 0.125 0.377 0.250
S 0.253 0.749 0.506
S 0.000 0.000 0.000
Ho 0.875 0.623 0.750
Y 0.626 0.872 0.252
```

**Size of the total moment**: 0.00 μB per formula unit
**Crystal system**: monoclinic
**Formation energy from raw total energies**: -1705 meV/atom


Computed, not measured: crystalline Be4TeAs at its relaxed geometry at the PBE level of DFT. Values from VASP.

Quantum ESPRESSO input file:
```
&SYSTEM
  ibrav = 0, nat = 6, ntyp = 3
/
ATOMIC_SPECIES
Be 9.01 Be.upf
Te 127.60 Te.upf
As 74.92 As.upf
CELL_PARAMETERS angstrom
0.000 3.454 3.454
3.454 0.000 3.454
3.454 3.454 0.000
ATOMIC_POSITIONS crystal
Be 0.881 0.373 0.373
Te 0.750 0.750 0.750
Be 0.373 0.373 0.373
Be 0.373 0.373 0.881
Be 0.373 0.881 0.373
As 0.000 0.000 0.000
```

**Size of the total moment**: 0.00 μB per formula unit
**Crystal system**: cubic
**Formation energy from raw total energies**: 645 meV/atom


Computed, not measured: crystalline K2As at its relaxed geometry at the PBE level of DFT. Values from VASP.

Quantum ESPRESSO input file:
```
&SYSTEM
  ibrav = 0, nat = 3, ntyp = 2
/
ATOMIC_SPECIES
K 39.10 K.upf
As 74.92 As.upf
CELL_PARAMETERS angstrom
-0.728 -3.534 5.022
2.360 1.783 5.431
-3.441 2.349 -4.570
ATOMIC_POSITIONS crystal
K 0.651 0.651 0.000
As 0.000 0.000 0.000
K 0.349 0.349 0.000
```

**Size of the total moment**: 0.00 μB per formula unit
**Energy of formation from the pure elements**: -0.186 eV per atom
**Crystal system**: tetragonal


Computed, not measured: crystalline Hf4Zr5In2 at its relaxed geometry at the PBE level of DFT. Values from VASP.

Quantum ESPRESSO input file:
```
&SYSTEM
  ibrav = 0, nat = 11, ntyp = 3
/
ATOMIC_SPECIES
Zr 91.22 Zr.upf
In 114.82 In.upf
Hf 178.49 Hf.upf
CELL_PARAMETERS angstrom
5.211 0.000 2.611
2.605 4.676 1.306
-1.977 0.000 10.450
ATOMIC_POSITIONS crystal
Zr 0.500 0.500 0.000
Zr 0.000 0.500 0.000
Zr 0.250 0.500 0.500
In 0.096 0.000 0.809
Zr 0.750 0.500 0.500
Zr 0.500 0.000 0.000
Hf 0.198 0.346 0.257
Hf 0.456 0.346 0.743
In 0.904 0.000 0.191
Hf 0.802 0.654 0.743
Hf 0.544 0.654 0.257
```

**Size of the total moment**: 0.00 μB per formula unit
**Energy of formation from the pure elements**: 0.503 eV per atom
**Crystal system**: orthorhombic


Computed, not measured: crystalline Ti2ZnSn at its relaxed geometry at the PBE level of DFT. Values from VASP.

Quantum ESPRESSO input file:
```
&SYSTEM
  ibrav = 0, nat = 4, ntyp = 3
/
ATOMIC_SPECIES
Sn 118.71 Sn.upf
Zn 65.41 Zn.upf
Ti 47.87 Ti.upf
CELL_PARAMETERS angstrom
3.519 0.000 0.000
0.000 3.519 0.000
0.000 0.000 5.695
ATOMIC_POSITIONS crystal
Sn 0.500 0.500 0.500
Zn 0.500 0.500 0.000
Ti 0.000 0.000 0.754
Ti 0.000 0.000 0.246
```

**Size of the total moment**: 0.00 μB per formula unit
**Energy of formation from the pure elements**: -0.164 eV per atom
**Crystal system**: tetragonal


Computed, not measured: crystalline NpIrRhAu at its relaxed geometry at the PBE level of DFT. Values from VASP.

Quantum ESPRESSO input file:
```
&SYSTEM
  ibrav = 0, nat = 4, ntyp = 4
/
ATOMIC_SPECIES
Au 196.97 Au.upf
Rh 102.91 Rh.upf
Np 237.00 Np.upf
Ir 192.22 Ir.upf
CELL_PARAMETERS angstrom
-2.689 3.583 -1.257
-3.370 -0.613 -3.149
-4.462 0.133 1.312
ATOMIC_POSITIONS crystal
Au 0.750 0.750 0.750
Rh 0.000 0.000 0.000
Np 0.250 0.250 0.250
Ir 0.500 0.500 0.500
```

**Size of the total moment**: 2.76 μB per formula unit
**Energy of formation from the pure elements**: -0.194 eV per atom
**Crystal system**: cubic


Computed, not measured: crystalline Mg2CrTe at its relaxed geometry at the PBE level of DFT. Values from VASP.

Quantum ESPRESSO input file:
```
&SYSTEM
  ibrav = 0, nat = 4, ntyp = 3
/
ATOMIC_SPECIES
Mg 24.30 Mg.upf
Cr 52.00 Cr.upf
Te 127.60 Te.upf
CELL_PARAMETERS angstrom
-2.802 1.097 2.491
-2.675 -1.923 -2.162
-0.363 -6.010 2.238
ATOMIC_POSITIONS crystal
Mg 0.500 0.306 0.264
Cr 0.500 0.540 0.791
Mg 0.000 0.950 0.973
Te 0.000 0.704 0.471
```

**Size of the total moment**: 4.20 μB per formula unit
**Crystal system**: monoclinic
**Formation energy from raw total energies**: 64 meV/atom


Computed, not measured: crystalline CrTc3Cl at its relaxed geometry at the PBE level of DFT. Values from VASP.

Quantum ESPRESSO input file:
```
&SYSTEM
  ibrav = 0, nat = 5, ntyp = 3
/
ATOMIC_SPECIES
Cr 52.00 Cr.upf
Tc 98.00 Tc.upf
Cl 35.45 Cl.upf
CELL_PARAMETERS angstrom
-2.139 0.686 3.937
-3.889 -1.385 -1.872
0.920 -4.261 1.242
ATOMIC_POSITIONS crystal
Cr 0.000 0.000 0.000
Tc 0.000 0.500 0.000
Cl 0.500 0.500 0.500
Tc 0.000 0.000 0.500
Tc 0.500 0.000 0.000
```

**Size of the total moment**: 3.38 μB per formula unit
**Crystal system**: cubic
**Formation energy from raw total energies**: 1611 meV/atom
**E above lowest polymorph**: 0.250 eV/atom


Computed, not measured: crystalline ReAgHg at its relaxed geometry at the PBE level of DFT. Values from VASP.

Quantum ESPRESSO input file:
```
&SYSTEM
  ibrav = 0, nat = 3, ntyp = 3
/
ATOMIC_SPECIES
Ag 107.87 Ag.upf
Re 186.21 Re.upf
Hg 200.59 Hg.upf
CELL_PARAMETERS angstrom
-0.946 -2.631 0.656
1.474 1.521 1.940
-6.292 2.889 2.515
ATOMIC_POSITIONS crystal
Ag 0.000 0.000 0.991
Re 0.333 0.667 0.673
Hg 0.667 0.333 0.336
```

**Size of the total moment**: 0.00 μB per formula unit
**Energy of formation from the pure elements**: 0.640 eV per atom
**Crystal system**: trigonal
**E above lowest polymorph**: 0.000 eV/atom


Computed, not measured: crystalline Li2ErUO6 at its relaxed geometry at the PBE level of DFT. Values from VASP.

Quantum ESPRESSO input file:
```
&SYSTEM
  ibrav = 0, nat = 20, ntyp = 4
/
ATOMIC_SPECIES
O 16.00 O.upf
Er 167.26 Er.upf
Li 6.94 Li.upf
U 238.03 U.upf
CELL_PARAMETERS angstrom
5.516 0.000 -0.013
0.000 5.662 0.000
0.030 0.000 8.015
ATOMIC_POSITIONS crystal
O 0.677 0.341 0.936
Er 0.500 0.000 0.000
O 0.150 0.182 0.072
Li 0.483 0.510 0.755
O 0.127 0.421 0.762
O 0.627 0.079 0.262
Li 0.517 0.490 0.245
O 0.650 0.318 0.572
O 0.373 0.921 0.738
Li 0.017 0.010 0.745
O 0.850 0.818 0.928
U 0.500 0.000 0.500
O 0.323 0.659 0.064
Li 0.983 0.990 0.255
O 0.350 0.682 0.428
U 0.000 0.500 0.000
O 0.873 0.579 0.238
Er 0.000 0.500 0.500
O 0.823 0.841 0.564
O 0.177 0.159 0.436
```

**Size of the total moment**: 0.80 μB per formula unit
**Crystal system**: monoclinic
**Formation energy from raw total energies**: -2687 meV/atom


Computed, not measured: crystalline TbMn4Nb at its relaxed geometry at the PBE level of DFT. Values from VASP.

Quantum ESPRESSO input file:
```
&SYSTEM
  ibrav = 0, nat = 6, ntyp = 3
/
ATOMIC_SPECIES
Tb 158.93 Tb.upf
Nb 92.91 Nb.upf
Mn 54.94 Mn.upf
CELL_PARAMETERS angstrom
4.983 0.000 0.000
2.492 4.316 0.000
2.492 1.439 4.069
ATOMIC_POSITIONS crystal
Tb 0.000 0.000 0.000
Nb 0.250 0.250 0.250
Mn 0.624 0.127 0.624
Mn 0.624 0.624 0.624
Mn 0.624 0.624 0.127
Mn 0.127 0.624 0.624
```

**Size of the total moment**: 3.16 μB per formula unit
**Energy of formation from the pure elements**: 0.070 eV per atom
**Crystal system**: cubic